Crystalline ZrScPaRe at its relaxed geometry, computed with PBE.

Unit cell a=6.8819 b=6.8819 c=6.8819 alpha=90.00 beta=90.00 gamma=90.00
Space group F-43m (No. 216)
Symmetry-distinct sites (fractional):
Zr (0.0000, 0.0000, 0.0000)
Sc (0.2500, 0.2500, 0.7500)
Pa (0.2500, 0.2500, 0.2500)
Re (0.0000, 0.0000, 0.5000)

As for the total magnetization: 0.000 Bohr magnetons per cell. The value obtained for the energy is -147.5 eV/cell. The calculation puts the density of states at the Fermi level at 13.60 states/eV per cell. Its formation energy is -0.0155 eV/atom.